Record 1
# SmY2Ho3S6, optimized geometry, DFT GGA-PBE
data_SmY2Ho3S6
_symmetry_space_group_name_H-M 'C 1 2/m 1'
_symmetry_Int_Tables_number 12
_symmetry_space_group_name_Hall '-C 2y'
_cell_length_a 6.765
_cell_length_b 11.763
_cell_length_c 6.790
_cell_angle_alpha 90.00
_cell_angle_beta 109.44
_cell_angle_gamma 90.00
loop_
_atom_site_label
_atom_site_fract_x
_atom_site_fract_y
_atom_site_fract_z
Sm1 0.000 0.000 0.000
Y1 0.000 0.334 0.000
Ho1 0.000 0.164 0.500
Ho2 0.000 0.500 0.500
S1 0.245 0.331 0.743
S2 0.247 0.500 0.255
# Uncorrected formation energy, eV per atom: -1.993
# Mass density, g/cm3: 6.6


Record 2
# Te4Rh2Au, optimized geometry, DFT GGA-PBE
data_Te4Rh2Au
_symmetry_space_group_name_H-M 'P -1'
_symmetry_Int_Tables_number 2
_symmetry_space_group_name_Hall '-P 1'
_cell_length_a 4.197
_cell_length_b 7.078
_cell_length_c 7.118
_cell_angle_alpha 60.28
_cell_angle_beta 73.09
_cell_angle_gamma 89.80
loop_
_atom_site_label
_atom_site_fract_x
_atom_site_fract_y
_atom_site_fract_z
Te1 0.142 0.293 0.220
Te2 0.358 0.186 0.782
Rh1 0.248 0.740 0.003
Au1 0.000 0.500 0.500
# Uncorrected formation energy, eV per atom: -0.275
# Mass density, g/cm3: 8.8


Record 3
# PaTl3Te6Pb2, optimized geometry, DFT GGA-PBE
data_PaTl3Te6Pb2
_symmetry_space_group_name_H-M 'C 1 2/m 1'
_symmetry_Int_Tables_number 12
_symmetry_space_group_name_Hall '-C 2y'
_cell_length_a 8.015
_cell_length_b 13.812
_cell_length_c 8.398
_cell_angle_alpha 90.00
_cell_angle_beta 108.36
_cell_angle_gamma 90.00
loop_
_atom_site_label
_atom_site_fract_x
_atom_site_fract_y
_atom_site_fract_z
Pa1 0.000 0.000 0.000
Tl1 0.000 0.170 0.500
Tl2 0.000 0.500 0.500
Te1 0.227 0.155 0.217
Te2 0.234 0.000 0.777
Pb1 0.000 0.334 0.000
# Uncorrected formation energy, eV per atom: -0.547
# Mass density, g/cm3: 7.6


Record 4
# Ce2Si3, optimized geometry, DFT GGA-PBE
data_Ce2Si3
_symmetry_space_group_name_H-M 'C m c m'
_symmetry_Int_Tables_number 63
_symmetry_space_group_name_Hall '-C 2c 2'
_cell_length_a 4.250
_cell_length_b 24.893
_cell_length_c 3.991
_cell_angle_alpha 90.00
_cell_angle_beta 90.00
_cell_angle_gamma 90.00
loop_
_atom_site_label
_atom_site_fract_x
_atom_site_fract_y
_atom_site_fract_z
Ce1 0.000 0.069 0.250
Ce2 0.000 0.203 0.750
Si1 0.000 0.328 0.750
Si2 0.000 0.382 0.250
Si3 0.000 0.476 0.250
# Uncorrected formation energy, eV per atom: -0.670
# Mass density, g/cm3: 5.7
# Offset from the most stable computed form, eV/atom: 0.000


Record 5
# K2BaSn6, optimized geometry, DFT GGA-PBE
data_K2BaSn6
_symmetry_space_group_name_H-M 'C 1 2/m 1'
_symmetry_Int_Tables_number 12
_symmetry_space_group_name_Hall '-C 2y'
_cell_length_a 13.930
_cell_length_b 11.916
_cell_length_c 4.015
_cell_angle_alpha 90.00
_cell_angle_beta 106.65
_cell_angle_gamma 90.00
loop_
_atom_site_label
_atom_site_fract_x
_atom_site_fract_y
_atom_site_fract_z
K1 0.170 0.000 0.169
Ba1 0.000 0.500 0.000
Sn1 0.000 0.141 0.500
Sn2 0.173 0.288 0.673
# ΔE_f, eV per atom: -0.1787
# Mass density, g/cm3: 4.8


Record 6
# NdThGa3, optimized geometry, DFT GGA-PBE
data_NdThGa3
_symmetry_space_group_name_H-M 'C m c m'
_symmetry_Int_Tables_number 63
_symmetry_space_group_name_Hall '-C 2c 2'
_cell_length_a 4.340
_cell_length_b 26.327
_cell_length_c 4.212
_cell_angle_alpha 90.00
_cell_angle_beta 90.00
_cell_angle_gamma 90.00
loop_
_atom_site_label
_atom_site_fract_x
_atom_site_fract_y
_atom_site_fract_z
Nd1 0.000 0.072 0.250
Th1 0.000 0.205 0.750
Ga1 0.000 0.327 0.750
Ga2 0.000 0.383 0.250
Ga3 0.000 0.476 0.250
# ΔE_f, eV per atom: -0.6178
# Mass density, g/cm3: 8.1


Record 7
# Ac2MgSc, optimized geometry, DFT GGA-PBE
data_Ac2MgSc
_symmetry_space_group_name_H-M 'F m -3 m'
_symmetry_Int_Tables_number 225
_symmetry_space_group_name_Hall '-F 4 2 3'
_cell_length_a 8.190
_cell_length_b 8.190
_cell_length_c 8.190
_cell_angle_alpha 90.00
_cell_angle_beta 90.00
_cell_angle_gamma 90.00
loop_
_atom_site_label
_atom_site_fract_x
_atom_site_fract_y
_atom_site_fract_z
Ac1 0.250 0.250 0.250
Mg1 0.000 0.000 0.000
Sc1 0.000 0.000 0.500
# ΔE_f, eV per atom: 0.0448
# Mass density, g/cm3: 6.3
# Offset from the most stable computed form, eV/atom: 0.022


Record 8
# PuPa2Cr, optimized geometry, DFT GGA-PBE
data_PuPa2Cr
_symmetry_space_group_name_H-M 'R -3 m'
_symmetry_Int_Tables_number 166
_symmetry_space_group_name_Hall '-R 3 2"'
_cell_length_a 3.0770
_cell_length_b 3.0770
_cell_length_c 31.7408
_cell_angle_alpha 90.00
_cell_angle_beta 90.00
_cell_angle_gamma 120.00
loop_
_atom_site_label
_atom_site_fract_x
_atom_site_fract_y
_atom_site_fract_z
Pu1 0.0000 0.0000 0.0000
Pa1 0.0000 0.0000 0.0915
Cr1 0.0000 0.0000 0.5000
# ΔE_f, eV per atom: 0.5010
# Mass density, g/cm3: 14.5
# Offset from the most stable computed form, eV/atom: 0.288


Record 9
# K2SiHgCl, optimized geometry, DFT GGA-PBE
data_K2SiHgCl
_symmetry_space_group_name_H-M 'P 4/m m m'
_symmetry_Int_Tables_number 123
_symmetry_space_group_name_Hall '-P 4 2'
_cell_length_a 6.497
_cell_length_b 6.497
_cell_length_c 5.181
_cell_angle_alpha 90.00
_cell_angle_beta 90.00
_cell_angle_gamma 90.00
loop_
_atom_site_label
_atom_site_fract_x
_atom_site_fract_y
_atom_site_fract_z
K1 0.000 0.500 0.000
Si1 0.000 0.000 0.000
Hg1 0.500 0.500 0.500
Cl1 0.000 0.000 0.500
# Uncorrected formation energy, eV per atom: -0.078
# Mass density, g/cm3: 2.6


Record 10
# Cs2S2F, optimized geometry, DFT GGA-PBE
data_Cs2S2F
_symmetry_space_group_name_H-M 'P 4/m b m'
_symmetry_Int_Tables_number 127
_symmetry_space_group_name_Hall '-P 4 2ab'
_cell_length_a 8.188
_cell_length_b 8.188
_cell_length_c 5.578
_cell_angle_alpha 90.00
_cell_angle_beta 90.00
_cell_angle_gamma 90.00
loop_
_atom_site_label
_atom_site_fract_x
_atom_site_fract_y
_atom_site_fract_z
Cs1 0.199 0.301 0.000
S1 0.086 0.586 0.500
F1 0.000 0.000 0.000
# Uncorrected formation energy, eV per atom: -1.332
# Mass density, g/cm3: 3.1
# Offset from the most stable computed form, eV/atom: 0.000


Record 11
# Sr2CaHgS, optimized geometry, DFT GGA-PBE
data_Sr2CaHgS
_symmetry_space_group_name_H-M 'P 4/m m m'
_symmetry_Int_Tables_number 123
_symmetry_space_group_name_Hall '-P 4 2'
_cell_length_a 6.060
_cell_length_b 6.060
_cell_length_c 5.684
_cell_angle_alpha 90.00
_cell_angle_beta 90.00
_cell_angle_gamma 90.00
loop_
_atom_site_label
_atom_site_fract_x
_atom_site_fract_y
_atom_site_fract_z
Sr1 0.000 0.500 0.000
Ca1 0.000 0.000 0.500
Hg1 0.000 0.000 0.000
S1 0.500 0.500 0.500
# Uncorrected formation energy, eV per atom: -0.248
# Mass density, g/cm3: 3.6


Record 12
# SmHoMgPd, optimized geometry, DFT GGA-PBE
data_SmHoMgPd
_symmetry_space_group_name_H-M 'F -4 3 m'
_symmetry_Int_Tables_number 216
_symmetry_space_group_name_Hall 'F -4 2 3'
_cell_length_a 7.318
_cell_length_b 7.318
_cell_length_c 7.318
_cell_angle_alpha 90.00
_cell_angle_beta 90.00
_cell_angle_gamma 90.00
loop_
_atom_site_label
_atom_site_fract_x
_atom_site_fract_y
_atom_site_fract_z
Sm1 0.000 0.000 0.000
Ho1 0.000 0.000 0.500
Mg1 0.250 0.250 0.750
Pd1 0.250 0.250 0.250
# ΔE_f, eV per atom: -0.3782
# Mass density, g/cm3: 7.6


Record 13
# Sb2AsPSe, optimized geometry, DFT GGA-PBE
data_Sb2AsPSe
_symmetry_space_group_name_H-M 'P 4/m m m'
_symmetry_Int_Tables_number 123
_symmetry_space_group_name_Hall '-P 4 2'
_cell_length_a 5.408
_cell_length_b 5.408
_cell_length_c 4.726
_cell_angle_alpha 90.00
_cell_angle_beta 90.00
_cell_angle_gamma 90.00
loop_
_atom_site_label
_atom_site_fract_x
_atom_site_fract_y
_atom_site_fract_z
Sb1 0.000 0.500 0.000
As1 0.000 0.000 0.500
P1 0.500 0.500 0.500
Se1 0.500 0.500 0.000
# Uncorrected formation energy, eV per atom: 0.948
# Mass density, g/cm3: 5.1


Record 14
# ScCdRe, optimized geometry, DFT GGA-PBE
data_ScCdRe
_symmetry_space_group_name_H-M 'I 4 m m'
_symmetry_Int_Tables_number 107
_symmetry_space_group_name_Hall 'I 4 -2'
_cell_length_a 3.404
_cell_length_b 3.404
_cell_length_c 9.686
_cell_angle_alpha 90.00
_cell_angle_beta 90.00
_cell_angle_gamma 90.00
loop_
_atom_site_label
_atom_site_fract_x
_atom_site_fract_y
_atom_site_fract_z
Sc1 0.000 0.000 0.000
Cd1 0.000 0.000 0.690
Re1 0.000 0.000 0.352
# ΔE_f, eV per atom: 0.2827
# Mass density, g/cm3: 10.2
# Offset from the most stable computed form, eV/atom: 0.081


Record 15
# CrNi5Pt2, optimized geometry, DFT GGA-PBE
data_CrNi5Pt2
_symmetry_space_group_name_H-M 'P b a m'
_symmetry_Int_Tables_number 55
_symmetry_space_group_name_Hall '-P 2 2ab'
_cell_length_a 5.202
_cell_length_b 10.381
_cell_length_c 3.649
_cell_angle_alpha 90.00
_cell_angle_beta 90.00
_cell_angle_gamma 90.00
loop_
_atom_site_label
_atom_site_fract_x
_atom_site_fract_y
_atom_site_fract_z
Cr1 0.000 0.000 0.000
Ni1 0.000 0.500 0.000
Ni2 0.001 0.247 0.000
Ni3 0.250 0.126 0.500
Pt1 0.248 0.376 0.500
# ΔE_f, eV per atom: -0.1049
# Mass density, g/cm3: 12.4


Record 16
# AlAuSe2Br, optimized geometry, DFT GGA-PBE
data_AlAuSe2Br
_symmetry_space_group_name_H-M 'P 4/m m m'
_symmetry_Int_Tables_number 123
_symmetry_space_group_name_Hall '-P 4 2'
_cell_length_a 4.964
_cell_length_b 4.964
_cell_length_c 4.912
_cell_angle_alpha 90.00
_cell_angle_beta 90.00
_cell_angle_gamma 90.00
loop_
_atom_site_label
_atom_site_fract_x
_atom_site_fract_y
_atom_site_fract_z
Al1 0.000 0.000 0.000
Au1 0.500 0.500 0.500
Se1 0.000 0.500 0.000
Br1 0.000 0.000 0.500
# Uncorrected formation energy, eV per atom: 0.208
# Mass density, g/cm3: 6.3
# Offset from the most stable computed form, eV/atom: 0.000


Record 17
# Sr2MnRe, optimized geometry, DFT GGA-PBE
data_Sr2MnRe
_symmetry_space_group_name_H-M 'I -4 m 2'
_symmetry_Int_Tables_number 119
_symmetry_space_group_name_Hall 'I -4 -2'
_cell_length_a 5.128
_cell_length_b 5.128
_cell_length_c 7.286
_cell_angle_alpha 90.00
_cell_angle_beta 90.00
_cell_angle_gamma 90.00
loop_
_atom_site_label
_atom_site_fract_x
_atom_site_fract_y
_atom_site_fract_z
Sr1 0.000 0.000 0.000
Sr2 0.000 0.500 0.250
Mn1 0.000 0.500 0.750
Re1 0.000 0.000 0.500
# ΔE_f, eV per atom: 1.1101
# Mass density, g/cm3: 7.2
# Offset from the most stable computed form, eV/atom: 0.729